Density functional theory data (PBE-GGA) for crystalline Cs2AsI7 at its relaxed geometry.

Properties
Crystal system   cubic
Space-group type   No. 225
Formation energy without anion corrections   -0.64 eV per atom
Fermi-level density of states   2.9 states/eV/f.u.

Cell lengths 8.744, 8.744, 8.744 Å; angles 60.00, 60.00, 60.00 degrees
Atoms (fractional coordinates):
Cs 0.250 0.250 0.250
Cs 0.750 0.750 0.750
As 0.000 0.000 0.000
I 0.231 0.231 0.769
I 0.231 0.769 0.231
I 0.231 0.769 0.769
I 0.500 0.500 0.500
I 0.769 0.231 0.231
I 0.769 0.231 0.769
I 0.769 0.769 0.231

Density functional theory data (PBE-GGA) for crystalline Th3Tc2Ge2 at its relaxed geometry.

Properties
Crystal system   orthorhombic
Space-group type   No. 57
Energy   -7.975 eV/atom
Fermi-level density of states   5.4 states/eV/f.u.

Cell lengths 5.733, 8.028, 13.871 Å; angles 90.00, 90.00, 90.00 degrees
Atoms (fractional coordinates):
Th 0.118 0.231 0.250
Th 0.118 0.269 0.750
Th 0.340 0.592 0.097
Th 0.340 0.592 0.403
Th 0.340 0.908 0.597
Th 0.340 0.908 0.903
Th 0.660 0.092 0.097
Th 0.660 0.092 0.403
Th 0.660 0.408 0.597
Th 0.660 0.408 0.903
Th 0.882 0.731 0.250
Th 0.882 0.769 0.750
Tc 0.155 0.531 0.592
Tc 0.155 0.531 0.908
Tc 0.155 0.969 0.092
Tc 0.155 0.969 0.408
Tc 0.845 0.031 0.592
Tc 0.845 0.031 0.908
Tc 0.845 0.469 0.092
Tc 0.845 0.469 0.408
Ge 0.120 0.250 0.000
Ge 0.120 0.250 0.500
Ge 0.378 0.618 0.750
Ge 0.378 0.882 0.250
Ge 0.622 0.118 0.750
Ge 0.622 0.382 0.250
Ge 0.880 0.750 0.000
Ge 0.880 0.750 0.500

Density functional theory data (PBE-GGA) for crystalline YTm7In4 at its relaxed geometry.

Properties
Crystal system   monoclinic
Space-group type   No. 12
Energy   -4.122 eV/atom
Fermi-level density of states   11.9 states/eV/f.u.

Cell lengths 7.703, 7.703, 10.355 Å; angles 121.33, 121.33, 42.59 degrees
Atoms (fractional coordinates):
Y 0.000 0.000 0.000
Tm 0.064 0.064 0.398
Tm 0.213 0.213 0.876
Tm 0.279 0.279 0.338
Tm 0.500 0.500 0.000
Tm 0.721 0.721 0.662
Tm 0.787 0.787 0.124
Tm 0.936 0.936 0.602
In 0.319 0.319 0.665
In 0.438 0.438 0.241
In 0.562 0.562 0.759
In 0.681 0.681 0.335